Computed, not measured: crystalline TaMoAs2 at its relaxed geometry at the GGA-PBE level of DFT.

Cell and atoms, written as CIF:
```
data_TaMoAs2
_chemical_formula_sum 'Ta1 Mo1 As2'
_space_group_name_H-M_alt 'P 1'
_space_group_IT_number 1
_cell_length_a 4.848
_cell_length_b 3.196
_cell_length_c 4.344
_cell_angle_alpha 90.00
_cell_angle_beta 90.00
_cell_angle_gamma 90.00
loop_
_space_group_symop_operation_xyz
'x,y,z'
loop_
_atom_site_label
_atom_site_type_symbol
_atom_site_fract_x
_atom_site_fract_y
_atom_site_fract_z
Mo1 Mo 0.000 0.375 0.502
As1 As 0.000 0.875 0.986
As2 As 0.500 0.375 0.264
Ta1 Ta 0.500 0.875 0.748
```

Output
Crystal system = orthorhombic
Raw total energy = -8.115 eV per atom
D(E_F) = 2.11 states/eV/f.u.
Energy of formation = -0.119 eV/atom
Volume = 16.8 Å³/atom


Computed, not measured: crystalline TaMoAs2 at its relaxed geometry at the GGA-PBE level of DFT.

Cell and atoms, written as CIF:
```
data_TaMoAs2
_chemical_formula_sum 'Ta1 Mo1 As2'
_space_group_name_H-M_alt 'P 1'
_space_group_IT_number 1
_cell_length_a 4.260
_cell_length_b 4.260
_cell_length_c 5.510
_cell_angle_alpha 78.02
_cell_angle_beta 78.02
_cell_angle_gamma 43.72
loop_
_space_group_symop_operation_xyz
'x,y,z'
loop_
_atom_site_label
_atom_site_type_symbol
_atom_site_fract_x
_atom_site_fract_y
_atom_site_fract_z
Mo1 Mo 0.750 0.750 0.750
As1 As 0.003 0.003 0.987
As2 As 0.497 0.497 0.513
Ta1 Ta 0.250 0.250 0.250
```

Output
Crystal system = monoclinic
Raw total energy = -7.950 eV per atom
D(E_F) = 3.77 states/eV/f.u.
Energy of formation = 0.045 eV/atom
Volume = 16.8 Å³/atom


Computed, not measured: crystalline Ta2MoAsW at its relaxed geometry at the GGA-PBE level of DFT.

Cell and atoms, written as CIF:
```
data_Ta2MoAsW
_chemical_formula_sum 'Ta2 Mo1 As1 W1'
_space_group_name_H-M_alt 'P 1'
_space_group_IT_number 1
_cell_length_a 4.920
_cell_length_b 4.628
_cell_length_c 4.920
_cell_angle_alpha 90.00
_cell_angle_beta 90.00
_cell_angle_gamma 90.00
loop_
_space_group_symop_operation_xyz
'x,y,z'
loop_
_atom_site_label
_atom_site_type_symbol
_atom_site_fract_x
_atom_site_fract_y
_atom_site_fract_z
Mo1 Mo 0.500 0.500 0.500
As1 As 0.000 0.500 0.000
W1 W 0.000 0.000 0.000
Ta1 Ta 0.000 0.000 0.500
Ta2 Ta 0.500 0.000 0.000
```

Output
Crystal system = tetragonal
Raw total energy = -8.710 eV per atom
D(E_F) = 4.84 states/eV/f.u.
Energy of formation = 1.718 eV/atom
Volume = 22.4 Å³/atom


Computed, not measured: crystalline YTa2MoAs at its relaxed geometry at the GGA-PBE level of DFT.

Cell and atoms, written as CIF:
```
data_YTa2MoAs
_chemical_formula_sum 'Y1 Ta2 Mo1 As1'
_space_group_name_H-M_alt 'P 1'
_space_group_IT_number 1
_cell_length_a 4.906
_cell_length_b 4.950
_cell_length_c 4.906
_cell_angle_alpha 90.00
_cell_angle_beta 90.00
_cell_angle_gamma 90.00
loop_
_space_group_symop_operation_xyz
'x,y,z'
loop_
_atom_site_label
_atom_site_type_symbol
_atom_site_fract_x
_atom_site_fract_y
_atom_site_fract_z
Y1 Y 0.000 0.000 0.000
Mo1 Mo 0.500 0.500 0.500
As1 As 0.000 0.500 0.000
Ta1 Ta 0.000 0.000 0.500
Ta2 Ta 0.500 0.000 0.000
```

Output
Crystal system = tetragonal
Raw total energy = -6.689 eV per atom
D(E_F) = 8.27 states/eV/f.u.
Energy of formation = 2.441 eV/atom
Volume = 23.8 Å³/atom